First-principles (PBE) data for SiAu4 after structural relaxation, as listed in the Open Quantum Materials Database.

Cell: 4.962 4.962 7.960 Å, 90.00 90.00 105.72°
Atoms (fractional coordinates):
Au: 0.108 0.468 0.992
Au: 0.273 0.272 0.323
Au: 0.728 0.727 0.177
Au: 0.272 0.273 0.677
Au: 0.468 0.108 0.008
Au: 0.727 0.728 0.823
Au: 0.532 0.892 0.508
Au: 0.892 0.532 0.492
Si: 0.226 0.774 0.250
Si: 0.774 0.226 0.750

Values from the calculation:
- total DFT energy (no corrections) (eV/atom) = -3.73
- symmetry = C222_1, No. 20